(1)
Entry from Alexandria: Ca2RuW after structural relaxation (PBE).

Its energy is -46.63 eV/cell. The calculated volume is 160.0 Å³ per cell. The calculation puts the calculated density at 7.58 Mg/m³.

The structure belongs to space group Immm (No. 71); the cell edges are 3.290, 4.609 and 10.555 Å and the angles 90.00°, 90.00° and 90.00°. Symmetry generates all atoms from Ca at (0.000, 0.000, 0.215), Ru at (0.000, 0.500, 0.500) and W at (0.000, 0.500, 0.000).

(2)
Entry from Alexandria: Cs2TbCd2O4 after structural relaxation (PBE).

The calculated volume is 390.9 Å³ per cell. The uncorrected formation energy comes out at -1600 meV/atom. The calculation puts the calculated density at 6.06 Mg/m³.

The structure belongs to space group C2/m (No. 12); the cell edges are 15.591, 3.576 and 7.971 Å and the angles 90.00°, 118.40° and 90.00°. Symmetry generates all atoms from Cs at (0.128, 0.000, 0.010), Tb at (0.000, 0.000, 0.500), Cd at (0.179, 0.500, 0.522), O at (0.017, 0.500, 0.327) and O at (0.172, 0.000, 0.690).

(3)
Entry from Alexandria: Tc2TeMo after structural relaxation (PBE).

The calculated volume is 132.3 Å³ per cell. The uncorrected formation energy comes out at 316 meV/atom. The calculation puts the calculated density at 10.53 Mg/m³.

The structure belongs to space group Cm (No. 8); the cell edges are 9.547, 3.122 and 4.649 Å and the angles 90.00°, 107.24° and 90.00°. Symmetry generates all atoms from Tc at (0.000, 0.000, 0.000), Tc at (0.234, 0.500, 0.127), Te at (0.480, 0.000, 0.465) and Mo at (0.232, 0.000, 0.665).

(4)
Entry from Alexandria: CdTe2Rh after structural relaxation (PBE).

The calculated volume is 89.1 Å³ per cell. The uncorrected formation energy comes out at 216 meV/atom. The calculation puts the calculated density at 8.77 Mg/m³.

The structure belongs to space group P4/mmm (No. 123); the cell edges are 5.067, 5.067 and 3.472 Å and the angles 90.00°, 90.00° and 90.00°. Symmetry generates all atoms from Cd at (0.000, 0.000, 0.000), Te at (0.000, 0.500, 0.500) and Rh at (0.500, 0.500, 0.000).

(5)
Entry from Alexandria: Ho7Er3Sc after structural relaxation (PBE).

Its energy is -98.22 eV/cell. The calculated volume is 691.3 Å³ per cell. The calculation puts the calculated density at 8.17 Mg/m³.

The structure belongs to space group Immm (No. 71); the cell edges are 5.652, 11.006 and 11.114 Å and the angles 90.00°, 90.00° and 90.00°. Symmetry generates all atoms from Ho at (0.000, 0.000, 0.000), Ho at (0.000, 0.214, 0.500), Ho at (0.000, 0.307, 0.206), Er at (0.000, 0.000, 0.295), Er at (0.000, 0.500, 0.000) and Sc at (0.000, 0.500, 0.500).

(6)
Entry from Alexandria: CdPtCl2 after structural relaxation (PBE).

The calculated volume is 78.1 Å³ per cell. The uncorrected formation energy comes out at 262 meV/atom. The calculation puts the calculated density at 8.04 Mg/m³.

The structure belongs to space group Pmmm (No. 47); the cell edges are 3.412, 3.636 and 6.299 Å and the angles 90.00°, 90.00° and 90.00°. Symmetry generates all atoms from Cd at (0.000, 0.000, 0.000), Pt at (0.000, 0.000, 0.500) and Cl at (0.500, 0.500, 0.249).

(7)
Entry from Alexandria: PaZn9Fe3 after structural relaxation (PBE).

Its energy is -93.43 eV/cell. The calculated volume is 386.7 Å³ per cell. The calculation puts the calculated density at 8.48 Mg/m³.

The structure belongs to space group C2/m (No. 12); the cell edges are 5.017, 12.106 and 6.818 Å and the angles 90.00°, 110.98° and 90.00°. Symmetry generates all atoms from Pa at (0.000, 0.000, 0.000), Zn at (0.000, 0.500, 0.500), Zn at (0.113, 0.389, 0.221), Zn at (0.153, 0.176, 0.339), Fe at (0.000, 0.000, 0.500) and Fe at (0.250, 0.250, 0.000).

Q: calculated density of number 1 (Ca2RuW)?
A: 7.58 Mg/m³

Q: Which of these has the lowest calculated density?
A: Cs2TbCd2O4